# 1
A geometry-optimized BTeN2 structure, computed with PBE.

Properties
Energy relative to the elements, uncorrected in kJ per mole of atoms: 217
Calculated total energy in eV per atom: -4.36
Symmetry: Fm-3m
Crystal system: cubic
Spin magnetization in μB per atom: 0.000

Lattice parameters (Å, degrees): 3.900 3.900 3.900 60.00 60.00 60.00
Sites, in units of the cell vectors:
N1 0.750 0.750 0.750
N2 0.250 0.250 0.250
B1 0.000 0.000 0.000
Te1 0.500 0.500 0.500

---

# 2
A geometry-optimized B3TeN3 structure, computed with PBE.

Properties
Energy relative to the elements, uncorrected in kJ per mole of atoms: 60
Calculated total energy in eV per atom: -6.26
Symmetry: Pm-3n
Crystal system: cubic
Spin magnetization in μB per atom: 0.000

Lattice parameters (Å, degrees): 4.900 4.900 4.900 90.00 90.00 90.00
Sites, in units of the cell vectors:
N1 0.500 0.000 0.250
N2 0.000 0.250 0.500
N3 0.500 0.000 0.750
N4 0.750 0.500 0.000
N5 0.000 0.750 0.500
N6 0.250 0.500 0.000
B1 0.750 0.000 0.500
B2 0.250 0.000 0.500
B3 0.000 0.500 0.750
B4 0.000 0.500 0.250
B5 0.500 0.750 0.000
B6 0.500 0.250 0.000
Te1 0.000 0.000 0.000
Te2 0.500 0.500 0.500

---

# 3
A geometry-optimized BTeN2 structure, computed with PBE.

Properties
Energy relative to the elements, uncorrected in kJ per mole of atoms: 43
Calculated total energy in eV per atom: -6.17
Symmetry: I-42d
Crystal system: tetragonal
Spin magnetization in μB per atom: 0.000

Lattice parameters (Å, degrees): 4.744 4.744 5.057 62.03 62.03 90.00
Sites, in units of the cell vectors:
Te1 0.750 0.250 0.500
Te2 0.000 0.000 0.000
N1 0.875 0.732 0.750
N2 0.375 0.518 0.750
N3 0.268 0.625 0.250
N4 0.482 0.125 0.250
B1 0.250 0.750 0.500
B2 0.500 0.500 0.000

---

# 4
A geometry-optimized B2TeN structure, computed with PBE.

Properties
Energy relative to the elements, uncorrected in kJ per mole of atoms: 235
Calculated total energy in eV per atom: -3.77
Symmetry: Fm-3m
Crystal system: cubic
Spin magnetization in μB per atom: 0.000

Lattice parameters (Å, degrees): 4.051 4.051 4.051 60.00 60.00 60.00
Sites, in units of the cell vectors:
Te1 0.500 0.500 0.500
B1 0.250 0.250 0.250
B2 0.750 0.750 0.750
N1 0.000 0.000 0.000

---

# 5
A geometry-optimized BTeN3 structure, computed with PBE.

Properties
Energy relative to the elements, uncorrected in kJ per mole of atoms: 148
Calculated total energy in eV per atom: -5.42
Symmetry: Pm-3m
Crystal system: cubic
Spin magnetization in μB per atom: 0.000

Lattice parameters (Å, degrees): 3.514 3.514 3.514 90.00 90.00 90.00
Sites, in units of the cell vectors:
N1 0.500 0.000 0.000
N2 0.000 0.500 0.000
N3 0.000 0.000 0.500
B1 0.000 0.000 0.000
Te1 0.500 0.500 0.500

---

# 6
A geometry-optimized BTeN2 structure, computed with PBE.

Properties
Energy relative to the elements, uncorrected in kJ per mole of atoms: 45
Calculated total energy in eV per atom: -6.15
Symmetry: R-3m
Crystal system: trigonal
Spin magnetization in μB per atom: 0.000

Lattice parameters (Å, degrees): 5.122 5.122 5.122 44.47 44.47 44.47
Sites, in units of the cell vectors:
N1 0.098 0.098 0.098
N2 0.902 0.902 0.902
B1 0.000 0.000 0.000
Te1 0.500 0.500 0.500

---

# 7
A geometry-optimized BTeN2 structure, computed with PBE.

Properties
Energy relative to the elements, uncorrected in kJ per mole of atoms: 111
Calculated total energy in eV per atom: -5.47
Symmetry: R-3m
Crystal system: trigonal
Spin magnetization in μB per atom: 0.000

Lattice parameters (Å, degrees): 6.112 6.112 6.112 27.60 27.60 27.60
Sites, in units of the cell vectors:
Te1 0.000 0.000 0.000
B1 0.500 0.500 0.500
N1 0.880 0.880 0.880
N2 0.120 0.120 0.120

---

# 8
A geometry-optimized BTe2N2 structure, computed with PBE.

Properties
Energy relative to the elements, uncorrected in kJ per mole of atoms: 183
Calculated total energy in eV per atom: -4.02
Symmetry: P4/mmm
Crystal system: tetragonal
Spin magnetization in μB per atom: 0.303

Lattice parameters (Å, degrees): 4.007 4.007 4.577 90.00 90.00 90.00
Sites, in units of the cell vectors:
Te1 0.500 0.500 0.500
Te2 0.000 0.000 0.500
B1 0.000 0.000 0.000
N1 0.500 0.000 0.000
N2 0.000 0.500 0.000

---

What volume values result from the calculations? In sequence: 42.0; 117.7; 85.2; 47.0; 43.4; 60.0; 43.3; 73.5 Å³/cell.